# 1
# Ho2AgHPd6, optimized geometry, DFT PBE-GGA
data_Ho2AgHPd6
_chemical_formula_sum 'Ho2 Ag1 H1 Pd6'
_cell_length_a 5.553
_cell_length_b 5.560
_cell_length_c 6.959
_cell_angle_alpha 68.95
_cell_angle_beta 69.00
_cell_angle_gamma 62.14
_symmetry_space_group_name_H-M 'P 1'
_symmetry_Int_Tables_number 1
loop_
_symmetry_equiv_pos_as_xyz
'x,y,z'
loop_
_atom_site_label
_atom_site_type_symbol
_atom_site_fract_x
_atom_site_fract_y
_atom_site_fract_z
_atom_site_occupancy
Ho1 Ho 0.239 0.240 0.196 1
Ho2 Ho 0.761 0.760 0.804 1
Ag1 Ag 0.000 0.000 0.000 1
H1 H 0.500 0.500 0.500 1
Pd1 Pd 0.169 0.677 0.365 1
Pd2 Pd 0.299 0.298 0.741 1
Pd3 Pd 0.321 0.833 0.635 1
Pd4 Pd 0.679 0.167 0.365 1
Pd5 Pd 0.701 0.702 0.259 1
Pd6 Pd 0.831 0.323 0.635 1
# * crystal system: triclinic
# * DFT total energy: -5.20 eV per atom
# * DOS at the Fermi energy: 2.8 states/eV/f.u.
# * magnetic moment: 0.000 μB/atom

=====

# 2
# ZrCr3Pt, optimized geometry, DFT PBE-GGA
data_ZrCr3Pt
_chemical_formula_sum 'Zr1 Cr3 Pt1'
_cell_length_a 4.752
_cell_length_b 4.752
_cell_length_c 4.752
_cell_angle_alpha 90.00
_cell_angle_beta 90.00
_cell_angle_gamma 90.00
_symmetry_space_group_name_H-M 'P 1'
_symmetry_Int_Tables_number 1
loop_
_symmetry_equiv_pos_as_xyz
'x,y,z'
loop_
_atom_site_label
_atom_site_type_symbol
_atom_site_fract_x
_atom_site_fract_y
_atom_site_fract_z
_atom_site_occupancy
Zr1 Zr 0.000 0.000 0.000 1
Cr1 Cr 0.000 0.500 0.500 1
Cr2 Cr 0.500 0.000 0.500 1
Cr3 Cr 0.500 0.500 0.000 1
Pt1 Pt 0.500 0.500 0.500 1
# * crystal system: cubic
# * DFT total energy: -7.59 eV per atom
# * energy of formation from the pure elements: 1099 meV per atom
# * DOS at the Fermi energy: 12.0 states/eV/f.u.
# * relative energy among the computed polymorphs: 0.0000 eV per atom
# * magnetic moment: 1.895 μB/atom

=====

# 3
# AsRh, optimized geometry, DFT PBE-GGA
data_AsRh
_chemical_formula_sum 'As1 Rh1'
_cell_length_a 3.614
_cell_length_b 3.614
_cell_length_c 3.614
_cell_angle_alpha 60.00
_cell_angle_beta 60.00
_cell_angle_gamma 60.00
_symmetry_space_group_name_H-M 'P 1'
_symmetry_Int_Tables_number 1
loop_
_symmetry_equiv_pos_as_xyz
'x,y,z'
loop_
_atom_site_label
_atom_site_type_symbol
_atom_site_fract_x
_atom_site_fract_y
_atom_site_fract_z
_atom_site_occupancy
As1 As 0.000 0.000 0.000 1
Rh1 Rh 0.500 0.500 0.500 1
# * crystal system: cubic
# * DFT total energy: -6.06 eV per atom
# * energy of formation from the pure elements: -55 meV per atom
# * DOS at the Fermi energy: 2.7 states/eV/f.u.
# * magnetic moment: 0.000 μB/atom